A plane-wave DFT calculation with PBE was carried out for an optimized crystal structure of ScBeAg.

Cell lengths 4.4403, 4.4403, 4.4403 Å; angles 60.00, 60.00, 60.00 degrees
Closest atoms and distances in Å follow each position.
Positions (direct):
Ag  0.0000  0.0000  0.0000  4 Sc 2.72
Sc  0.7500  0.7500  0.7500  4 Be 2.72, 4 Ag 2.72
Be  0.5000  0.5000  0.5000  4 Sc 2.72

Values from the calculation:
The calculation puts the formation energy at 1.9 eV per formula unit. The polymorph energy (0 for the lowest one) is 2.14 eV per formula unit. Its space group is F-43m.


A plane-wave DFT calculation with PBE was carried out for an optimized crystal structure of BaS3Br.

Cell lengths 5.0412, 5.0412, 5.0412 Å; angles 90.00, 90.00, 90.00 degrees
Closest atoms and distances in Å follow each position.
Positions (direct):
Ba  0.5000  0.5000  0.5000  12 S 3.56
S  0.5000  0.0000  0.0000  2 Br 2.52
S  0.0000  0.0000  0.5000  2 Br 2.52
S  0.0000  0.5000  0.0000  2 Br 2.52
Br  0.0000  0.0000  0.0000  6 S 2.52

Values from the calculation:
The polymorph energy (0 for the lowest one) is 3.38 eV per formula unit. Its uncorrected formation energy is -0.275 eV/atom. Its space group is Pm-3m.


A plane-wave DFT calculation with PBE was carried out for an optimized crystal structure of CoTc2Au.

Cell lengths 5.9309, 4.8172, 2.7153 Å; angles 89.99, 62.76, 119.12 degrees
Closest atoms and distances in Å follow each position.
Positions (direct):
Tc  0.5000  0.0000  0.5000  4 Tc 2.64-2.72, 4 Co 2.76-2.77, 4 Au 2.76-2.77
Tc  0.0000  0.0000  0.0000  4 Tc 2.64-2.72, 4 Au 2.76-2.77, 4 Co 2.76-2.77
Au  0.0000  0.5000  0.5000  2 Co 2.64, 2 Au 2.72, 8 Tc 2.76-2.77
Co  0.5000  0.5000  0.0000  2 Au 2.64, 2 Co 2.72, 8 Tc 2.76-2.77

Values from the calculation:
The calculation puts the formation energy at 1.4 eV per formula unit. The polymorph energy (0 for the lowest one) is 0.57 eV per formula unit. Its space group is Cmmm.


A plane-wave DFT calculation with PBE was carried out for an optimized crystal structure of Pm2PuPb3.

Cell lengths 3.2948, 3.2948, 18.1721 Å; angles 90.00, 90.00, 90.00 degrees
Closest atoms and distances in Å follow each position.
Positions (direct):
Pm  0.5000  0.5000  0.3185  4 Pm 3.29, 1 Pu 3.30, 4 Pb 3.43
Pm  0.5000  0.5000  0.6815  4 Pm 3.29, 1 Pu 3.30, 4 Pb 3.43
Pb  0.0000  0.0000  0.0000  6 Pb 3.27-3.29
Pb  0.0000  0.0000  0.1798  5 Pb 3.27-3.29, 4 Pm 3.43
Pb  0.0000  0.0000  0.8202  5 Pb 3.27-3.29, 4 Pm 3.43
Pu  0.5000  0.5000  0.5000  4 Pu 3.29, 2 Pm 3.30

Values from the calculation:
The calculation puts the formation energy at 1.2 eV per formula unit. Its space group is P4/mmm.


A plane-wave DFT calculation with PBE was carried out for an optimized crystal structure of Mo3AsBr.

Cell lengths 4.7021, 4.7021, 4.7021 Å; angles 90.00, 90.00, 90.00 degrees
Closest atoms and distances in Å follow each position.
Positions (direct):
Mo  0.5000  0.0000  0.0000  2 As 2.35
Mo  0.0000  0.5000  0.0000  2 As 2.35
Mo  0.0000  0.0000  0.5000  2 As 2.35
As  0.0000  0.0000  0.0000  6 Mo 2.35
Br  0.5000  0.5000  0.5000  12 Mo 3.32

Values from the calculation:
The polymorph energy (0 for the lowest one) is 0.00 eV per formula unit. Its uncorrected formation energy is 1.478 eV/atom. Its space group is Pm-3m.


A plane-wave DFT calculation with PBE was carried out for an optimized crystal structure of RbTi3Bi.

Cell lengths 4.8343, 4.8343, 4.8343 Å; angles 90.00, 90.00, 90.00 degrees
Closest atoms and distances in Å follow each position.
Positions (direct):
Rb  0.0000  0.0000  0.0000  6 Ti 2.42
Ti  0.0000  0.5000  0.0000  2 Rb 2.42
Ti  0.5000  0.0000  0.0000  2 Rb 2.42
Ti  0.0000  0.0000  0.5000  2 Rb 2.42
Bi  0.5000  0.5000  0.5000  12 Ti 3.42

Values from the calculation:
The calculation puts the formation energy at 9.4 eV per formula unit. The polymorph energy (0 for the lowest one) is 3.64 eV per formula unit. Its space group is Pm-3m.


A plane-wave DFT calculation with PBE was carried out for an optimized crystal structure of Sm2PuPb3.

Cell lengths 3.5411, 3.5411, 13.8017 Å; angles 90.00, 90.00, 90.00 degrees
Closest atoms and distances in Å follow each position.
Positions (direct):
Pb  0.0000  0.0000  0.3337  4 Pu 3.40, 4 Sm 3.40, 4 Pb 3.54
Pb  0.0000  0.0000  0.6663  4 Pu 3.40, 4 Sm 3.40, 4 Pb 3.54
Pb  0.0000  0.0000  0.0000  8 Sm 3.40, 4 Pb 3.54
Sm  0.5000  0.5000  0.1671  8 Pb 3.40, 4 Sm 3.54
Sm  0.5000  0.5000  0.8329  8 Pb 3.40, 4 Sm 3.54
Pu  0.5000  0.5000  0.5000  8 Pb 3.40, 4 Pu 3.54

Values from the calculation:
The calculation puts the formation energy at -2.3 eV per formula unit. The polymorph energy (0 for the lowest one) is 0.00 eV per formula unit. Its space group is P4/mmm.


A plane-wave DFT calculation with PBE was carried out for an optimized crystal structure of CoTe2Se.

Cell lengths 3.1055, 3.1017, 9.1162 Å; angles 90.00, 90.00, 90.00 degrees
Closest atoms and distances in Å follow each position.
Positions (direct):
Te  0.0000  0.0000  0.0695  4 Co 2.74
Te  0.0000  0.0000  0.4305  4 Co 2.74
Co  0.5000  0.5000  0.2500  8 Te 2.74
Se  0.5000  0.5000  0.7500  4 Se 3.10-3.11

Values from the calculation:
Its uncorrected formation energy is 0.281 eV/atom. Its space group is P4/mmm.


A plane-wave DFT calculation with PBE was carried out for an optimized crystal structure of V3BS6.

Cell lengths 5.6528, 7.6123, 7.6123 Å; angles 101.95, 90.00, 90.00 degrees
Closest atoms and distances in Å follow each position.
Positions (direct):
S  0.1837  0.7855  0.2145  1 B 1.91
S  0.1864  0.4235  0.8917  1 B 1.93
S  0.6482  0.9497  0.0503  1 B 1.93
S  0.6864  0.8917  0.4235  1 B 1.93
S  0.6864  0.5765  0.1083  1 B 1.93
S  0.1973  0.3625  0.3185  4 V 2.39-2.46
S  0.1973  0.6815  0.6375  4 V 2.39-2.46
S  0.1482  0.0503  0.9497  1 B 1.93
S  0.6837  0.2145  0.7855  1 B 1.91
S  0.1864  0.1083  0.5765  1 B 1.93
S  0.6973  0.3185  0.3625  4 V 2.39-2.46
S  0.6973  0.6375  0.6815  4 V 2.39-2.46
V  0.9773  0.7150  0.9196  6 S 2.39-2.63
V  0.4773  0.9196  0.7150  6 S 2.39-2.63
V  0.4773  0.2850  0.0804  6 S 2.39-2.63
V  0.9773  0.0804  0.2850  6 S 2.39-2.63
V  0.4105  0.3944  0.6056  7 S 2.44-2.63
V  0.9105  0.6056  0.3944  7 S 2.44-2.63
B  0.0210  0.2020  0.7980  4 S 1.91-1.93
B  0.5210  0.7980  0.2020  4 S 1.91-1.93

Values from the calculation:
Its uncorrected formation energy is -0.632 eV/atom. Its space group is Cmc2_1.


A plane-wave DFT calculation with PBE was carried out for an optimized crystal structure of PrY7Th2.

Cell lengths 6.1955, 10.6976, 11.2881 Å; angles 137.02, 57.29, 140.07 degrees
Closest atoms and distances in Å follow each position.
Positions (direct):
Y  0.8056  0.1969  0.7955  9 Y 3.56-3.66, 2 Th 3.57-3.59, 1 Pr 3.64
Y  0.8991  0.1032  0.4020  4 Th 3.53-3.60, 7 Y 3.55-3.63, 1 Pr 3.59
Y  0.5000  0.5000  0.0000  8 Y 3.57-3.63, 2 Pr 3.58, 2 Th 3.60
Y  0.1944  0.8031  0.2045  9 Y 3.56-3.66, 2 Th 3.57-3.59, 1 Pr 3.64
Y  0.2972  0.6941  0.7935  3 Th 3.53-3.60, 7 Y 3.55-3.70, 2 Pr 3.60-3.61
Y  0.7028  0.3059  0.2065  3 Th 3.53-3.60, 7 Y 3.55-3.70, 2 Pr 3.60-3.61
Y  0.1009  0.8968  0.5980  4 Th 3.53-3.60, 7 Y 3.55-3.63, 1 Pr 3.59
Th  0.3957  0.6015  0.4026  10 Y 3.53-3.60, 1 Th 3.55, 1 Pr 3.62
Th  0.6043  0.3985  0.5974  10 Y 3.53-3.60, 1 Th 3.55, 1 Pr 3.62
Pr  0.0000  0.0000  0.0000  10 Y 3.58-3.64, 2 Th 3.62

Values from the calculation:
The calculation puts the formation energy at 0.3 eV per formula unit. Its space group is P-1.


A plane-wave DFT calculation with PBE was carried out for an optimized crystal structure of Ca2Zn6Ga.

Cell lengths 5.9941, 5.7447, 5.7463 Å; angles 119.99, 89.98, 90.00 degrees
Closest atoms and distances in Å follow each position.
Positions (direct):
Ca  0.8585  0.6666  0.3332  12 Zn 3.12-3.46, 3 Ga 3.42-3.43
Ca  0.1415  0.3334  0.6668  12 Zn 3.12-3.46, 3 Ga 3.42-3.43
Zn  0.3421  0.8230  0.1770  4 Zn 2.59-2.69, 1 Ga 2.70
Zn  0.3421  0.8228  0.6456  4 Zn 2.59-2.69, 1 Ga 2.70
Zn  0.3421  0.3540  0.1770  4 Zn 2.59-2.69, 1 Ga 2.70
Zn  0.6579  0.1770  0.8230  4 Zn 2.59-2.69, 1 Ga 2.70
Zn  0.6579  0.6460  0.8230  4 Zn 2.59-2.69, 1 Ga 2.70
Zn  0.6579  0.1772  0.3544  4 Zn 2.59-2.69, 1 Ga 2.70
Ga  0.0000  0.0000  0.0000  6 Zn 2.70

Values from the calculation:
The calculation puts the formation energy at -2.3 eV per formula unit. Its space group is P-3m1.